[1]
ScNbOs2 | GGA-PBE | optimized geometry

Unit cell a=4.492 b=4.492 c=4.492 alpha=60.00 beta=60.00 gamma=60.00
Positions (direct):
Sc  0.000  0.000  0.000
Nb  0.250  0.250  0.250
Os  0.500  0.500  0.500
Os  0.750  0.750  0.750

Values from the calculation:
The calculated formation energy comes out at -16.8 meV per atom. For the total moment, the calculation gives 0.18 Bohr magnetons per cell.

---

[2]
CsNaAsAu | GGA-PBE | optimized geometry

Unit cell a=5.344 b=5.344 c=5.344 alpha=60.00 beta=60.00 gamma=60.00
Positions (direct):
Cs  0.000  0.000  0.000
Na  0.750  0.750  0.750
As  0.500  0.500  0.500
Au  0.250  0.250  0.250

---

[3]
Sr2HfTc | GGA-PBE | optimized geometry

Unit cell a=5.225 b=5.225 c=5.225 alpha=60.00 beta=60.00 gamma=60.00
Positions (direct):
Sr  0.000  0.000  0.000
Sr  0.250  0.250  0.250
Hf  0.750  0.750  0.750
Tc  0.500  0.500  0.500

Values from the calculation:
For the total moment, the calculation gives 0.02 Bohr magnetons per cell.

---

[4]
GdTlFe | GGA-PBE | optimized geometry

Unit cell a=4.681 b=4.681 c=4.681 alpha=60.00 beta=60.00 gamma=60.00
Positions (direct):
Gd  0.000  0.000  0.000
Tl  0.500  0.500  0.500
Fe  0.250  0.250  0.250

Values from the calculation:
For the total moment, the calculation gives 1.65 Bohr magnetons per cell.

---

[5]
ReBTe | GGA-PBE | optimized geometry

Unit cell a=4.213 b=4.213 c=4.213 alpha=60.00 beta=60.00 gamma=60.00
Positions (direct):
Re  0.000  0.000  0.000
B  0.750  0.750  0.750
Te  0.250  0.250  0.250

Values from the calculation:
For the total moment, the calculation gives 0.01 Bohr magnetons per cell.

---

[6]
NaPuZn | GGA-PBE | optimized geometry

Unit cell a=4.981 b=4.981 c=4.981 alpha=60.00 beta=60.00 gamma=60.00
Positions (direct):
Na  0.000  0.000  0.000
Pu  0.500  0.500  0.500
Zn  0.250  0.250  0.250

Values from the calculation:
For the total moment, the calculation gives 6.50 Bohr magnetons per cell.

---

Computed final energy, in the same sequence as the records: -38.94; -10.04; -20.56; -14.51; -18.34; -15.49 eV for the cell shown.